Computed, not measured: PmCrBrO4 after structural relaxation at the GGA+U level of DFT.

Calculated values
E: -6.7527 eV per atom
spin magnetization: 0.000 μB per atom
calculated volume: 18.1 Å³ per atom

Unit cell a=10.403 b=7.337 c=6.857 alpha=90.00 beta=104.50 gamma=90.00
Space group C2/m (No. 12)
Inequivalent atoms, fractional coordinates:
Pm 0.234 0.000 0.125
Cr 0.138 0.500 0.265
Br 0.018 0.000 0.754
O 0.024 0.500 0.769
O 0.187 0.320 0.145
O 0.210 0.500 0.508